Density functional theory data (PBE-GGA) for a relaxed Sm3Ho2Ni2 crystal.

Computed properties:
* VASP energy: -5.195 eV/atom
* D(E_F): 9.9 states/eV/f.u.
* formation enthalpy at 0 K: -21 kJ/mol of atoms

Cell lengths 3.6778, 6.3267, 8.6532 Å; angles 71.57, 77.82, 73.18 degrees
Positions (direct):
Sm: 0.0000 0.0000 0.0000
Sm: 0.1144 0.2017 0.5687
Sm: 0.8856 0.7983 0.4313
Ho: 0.3320 0.5270 0.8106
Ho: 0.6680 0.4730 0.1894
Ni: 0.3283 0.1134 0.2311
Ni: 0.6717 0.8866 0.7689